[1]
Computed, not measured: a crystal of Be3CuIr relaxed with PBEsol at the SCAN level of DFT.

a b c (Å): 3.8320 3.8320 3.8320
angles (deg): 90.00 90.00 90.00
Fractional positions:
Be (0.0000, 0.0000, 0.5000)
Be (0.0000, 0.5000, 0.0000)
Be (0.5000, 0.0000, 0.0000)
Cu (0.0000, 0.0000, 0.0000)
Ir (0.5000, 0.5000, 0.5000)

Output
As for the total magnetic moment: 0.00 μB per formula unit. The calculation puts the formation energy at 0.56 eV per atom. The calculated total energy comes out at -96.57 eV per cell. The space-group type is Pm-3m.

---

[2]
Computed, not measured: a crystal of Be4CuIr relaxed with PBEsol at the SCAN level of DFT.

a b c (Å): 4.2666 4.2666 4.2666
angles (deg): 60.00 60.00 60.00
Fractional positions:
Be (0.1251, 0.1251, 0.1251)
Be (0.1251, 0.1251, 0.6246)
Be (0.1251, 0.6246, 0.1251)
Be (0.6246, 0.1251, 0.1251)
Cu (0.7500, 0.7500, 0.7500)
Ir (0.5000, 0.5000, 0.5000)

Output
As for the total magnetic moment: 0.00 μB per formula unit. The calculation puts the formation energy at -0.41 eV per atom. The calculated total energy comes out at -106.17 eV per cell. The space-group type is F-43m.

---

[3]
Computed, not measured: a crystal of BeCuIr2 relaxed with PBEsol at the SCAN level of DFT.

a b c (Å): 2.6732 2.6732 23.7233
angles (deg): 90.00 90.00 120.00
Fractional positions:
Be (0.0000, 0.0000, 0.0000)
Be (0.3333, 0.6667, 0.6667)
Be (0.6667, 0.3333, 0.3333)
Cu (0.0000, 0.0000, 0.5000)
Cu (0.3333, 0.6667, 0.1667)
Cu (0.6667, 0.3333, 0.8333)
Ir (0.0000, 0.0000, 0.2567)
Ir (0.0000, 0.0000, 0.7433)
Ir (0.3333, 0.6667, 0.4100)
Ir (0.3333, 0.6667, 0.9234)
Ir (0.6667, 0.3333, 0.0766)
Ir (0.6667, 0.3333, 0.5900)

Output
As for the total magnetic moment: 0.00 μB per formula unit. The calculation puts the formation energy at -0.21 eV per atom. The calculated total energy comes out at -487.83 eV per cell. The space-group type is R-3m.

---

[4]
Computed, not measured: a crystal of La2BeCuIr relaxed with PBEsol at the SCAN level of DFT.

a b c (Å): 5.2637 5.2637 3.9903
angles (deg): 90.00 90.00 90.00
Fractional positions:
La (0.0000, 0.5000, 0.0000)
La (0.5000, 0.0000, 0.0000)
Be (0.0000, 0.0000, 0.5000)
Cu (0.0000, 0.0000, 0.0000)
Ir (0.5000, 0.5000, 0.5000)

Output
As for the total magnetic moment: 0.00 μB per formula unit. The calculation puts the formation energy at 0.10 eV per atom. The calculated total energy comes out at -176.37 eV per cell. The space-group type is P4/mmm.

---

[5]
Computed, not measured: a crystal of K2BeCuSi relaxed with PBEsol at the SCAN level of DFT.

a b c (Å): 5.9034 5.9034 4.1723
angles (deg): 90.00 90.00 90.00
Fractional positions:
K (0.0000, 0.5000, 0.0000)
K (0.5000, 0.0000, 0.0000)
Be (0.0000, 0.0000, 0.5000)
Cu (0.0000, 0.0000, 0.0000)
Si (0.5000, 0.5000, 0.5000)

Output
As for the total magnetic moment: 1.40 μB per formula unit. The calculated total energy comes out at -41.95 eV per cell. The space-group type is P4/mmm. For the raw formation energy, the calculation gives 0.86 eV per atom.

---

[6]
Computed, not measured: a crystal of LaBe2Cu relaxed with PBEsol at the SCAN level of DFT.

a b c (Å): 3.1459 4.5966 4.6071
angles (deg): 90.00 90.00 90.00
Fractional positions:
La (0.0000, 0.0000, 0.0000)
Be (0.0000, 0.5000, 0.5000)
Be (0.5000, 0.5000, 0.0000)
Cu (0.5000, 0.0000, 0.5000)

Output
As for the total magnetic moment: 0.00 μB per formula unit. The calculation puts the formation energy at 0.62 eV per atom. The calculated total energy comes out at -64.53 eV per cell. The space-group type is Pmmm.

---

[7]
Computed, not measured: a crystal of LaBeCu2 relaxed with PBEsol at the SCAN level of DFT.

a b c (Å): 4.0173 4.0173 14.7326
angles (deg): 90.00 90.00 120.00
Fractional positions:
La (0.0000, 0.0000, 0.0000)
La (0.3333, 0.6667, 0.6667)
La (0.6667, 0.3333, 0.3333)
Be (0.0000, 0.0000, 0.5000)
Be (0.3333, 0.6667, 0.1667)
Be (0.6667, 0.3333, 0.8333)
Cu (0.0000, 0.0000, 0.1947)
Cu (0.0000, 0.0000, 0.8053)
Cu (0.3333, 0.6667, 0.4719)
Cu (0.3333, 0.6667, 0.8614)
Cu (0.6667, 0.3333, 0.1386)
Cu (0.6667, 0.3333, 0.5281)

Output
As for the total magnetic moment: 0.00 μB per formula unit. The calculation puts the formation energy at -0.16 eV per atom. The calculated total energy comes out at -235.54 eV per cell. The space-group type is R-3m.

---

[8]
Computed, not measured: a crystal of LaBeCu12 relaxed with PBEsol at the SCAN level of DFT.

a b c (Å): 7.9961 7.9961 7.9961
angles (deg): 60.00 60.00 60.00
Fractional positions:
La (0.2500, 0.2500, 0.2500)
La (0.7500, 0.7500, 0.7500)
Be (0.0000, 0.0000, 0.0000)
Be (0.5000, 0.5000, 0.5000)
Cu (0.0618, 0.2925, 0.7075)
Cu (0.0618, 0.7075, 0.9382)
Cu (0.0618, 0.9382, 0.2925)
Cu (0.2075, 0.4382, 0.7925)
Cu (0.2075, 0.5618, 0.4382)
Cu (0.2075, 0.7925, 0.5618)
Cu (0.2925, 0.0618, 0.9382)
Cu (0.2925, 0.7075, 0.0618)
Cu (0.2925, 0.9382, 0.7075)
Cu (0.4382, 0.2075, 0.5618)
Cu (0.4382, 0.5618, 0.7925)
Cu (0.4382, 0.7925, 0.2075)
Cu (0.5618, 0.2075, 0.7925)
Cu (0.5618, 0.4382, 0.2075)
Cu (0.5618, 0.7925, 0.4382)
Cu (0.7075, 0.0618, 0.2925)
Cu (0.7075, 0.2925, 0.9382)
Cu (0.7075, 0.9382, 0.0618)
Cu (0.7925, 0.2075, 0.4382)
Cu (0.7925, 0.4382, 0.5618)
Cu (0.7925, 0.5618, 0.2075)
Cu (0.9382, 0.0618, 0.7075)
Cu (0.9382, 0.2925, 0.0618)
Cu (0.9382, 0.7075, 0.2925)

Output
As for the total magnetic moment: 0.00 μB per formula unit. The calculation puts the formation energy at -0.12 eV per atom. The calculated total energy comes out at -463.16 eV per cell. The space-group type is Fm-3c.